Record 1
First-principles (PBE with a Hubbard U) data for a relaxed Er2NpNiO8 crystal, as listed in Alexandria.

Computed properties:
- Mass density: 8.01 g/cm³
- Crystal system: triclinic
- Final energy: -7.892 eV per atom
- Total magnetization: 0.97 μB per formula unit

Cell: 4.408 5.087 7.094 Å, 83.40 87.78 84.22°
Positions (direct):
Er (0.076, 0.014, 0.236)
Er (0.924, 0.986, 0.764)
Np (0.500, 0.500, 0.500)
Ni (0.500, 0.500, 0.000)
O (0.120, 0.741, 0.522)
O (0.200, 0.777, 0.997)
O (0.361, 0.356, 0.240)
O (0.386, 0.207, 0.683)
O (0.614, 0.793, 0.317)
O (0.639, 0.644, 0.760)
O (0.800, 0.223, 0.003)
O (0.880, 0.259, 0.478)

---

Record 2
First-principles (PBE with a Hubbard U) data for a relaxed ErNpNi2O6 crystal, as listed in Alexandria.

Computed properties:
- Mass density: 6.58 g/cm³
- Crystal system: tetragonal
- D(E_F): 7.83 states/eV per cell
- Final energy: -7.158 eV per atom
- Total magnetization: 3.84 μB per formula unit

Cell: 6.112 6.112 4.176 Å, 90.00 90.00 90.00°
Positions (direct):
Er (0.000, 0.000, 0.000)
Np (0.500, 0.500, 0.024)
Ni (0.000, 0.500, 0.064)
Ni (0.500, 0.000, 0.064)
O (0.000, 0.000, 0.504)
O (0.261, 0.261, 0.033)
O (0.261, 0.739, 0.033)
O (0.500, 0.500, 0.526)
O (0.739, 0.261, 0.033)
O (0.739, 0.739, 0.033)